DFT (PBE) results for a relaxed structure of LiTb3Sm2S6.

Cell lengths 6.8265, 6.8265, 6.8238 Å; angles 99.64, 99.64, 120.15 degrees
Closest atoms and distances in Å follow each position.
Fractional positions:
Li  0.0000  0.0000  0.0000  6 S 2.71-2.73
Tb  0.1663  0.8337  0.5000  6 S 2.75-2.84
Tb  0.8337  0.1663  0.5000  6 S 2.75-2.84
Tb  0.5000  0.5000  0.5000  6 S 2.75-2.86
Sm  0.3341  0.6659  0.0000  6 S 2.81-2.82
Sm  0.6659  0.3341  0.0000  6 S 2.81-2.82
S  0.9165  0.5931  0.7486  1 Li 2.73, 3 Tb 2.75-2.84, 2 Sm 2.82
S  0.7615  0.7615  0.2484  1 Li 2.71, 3 Tb 2.75-2.86, 2 Sm 2.81
S  0.0835  0.4069  0.2514  1 Li 2.73, 3 Tb 2.75-2.84, 2 Sm 2.82
S  0.5931  0.9165  0.7486  1 Li 2.73, 3 Tb 2.75-2.84, 2 Sm 2.82
S  0.2385  0.2385  0.7516  1 Li 2.71, 3 Tb 2.75-2.86, 2 Sm 2.81
S  0.4069  0.0835  0.2514  1 Li 2.73, 3 Tb 2.75-2.84, 2 Sm 2.82

Summary:
V = 259.0 Å³/cell
ΔE_f (raw) = -1968 meV/atom
Density of states at the Fermi level = 4.897 states/eV per cell